Version P
Tb4Tm2In, relaxed, DFT GGA-PBE; space group = P2_1/m, No. 11; total magnetic moment = 0.00 μB per cell; Fermi-level density of states = 21.84 states/eV/cell
1.0
5.600 0.000 0.000
0.000 6.740 0.000
-2.648 0.000 11.318
Tb Tm In
8 4 2
Direct
0.106 0.250 0.135
0.232 0.750 0.421
0.339 0.509 0.709
0.339 0.991 0.709
0.661 0.009 0.291
0.661 0.491 0.291
0.768 0.250 0.579
0.894 0.750 0.865
0.202 0.250 0.431
0.461 0.750 0.021
0.539 0.250 0.979
0.798 0.750 0.569
0.029 0.750 0.149
0.971 0.250 0.851

Version Q
Tb4Tm2In, relaxed, DFT GGA-PBE; space group = Fdd2, No. 43; total magnetic moment = 0.00 μB per cell; Fermi-level density of states = 19.38 states/eV/cell
1.0
0.000 10.885 3.942
5.052 0.000 3.942
5.052 10.885 0.000
Tb Tm In
8 4 2
Direct
0.067 0.933 0.096
0.154 0.346 0.183
0.265 0.573 0.502
0.346 0.154 0.317
0.573 0.265 0.660
0.590 0.748 0.677
0.748 0.590 0.985
0.933 0.067 0.904
0.127 0.531 0.897
0.353 0.806 0.123
0.531 0.127 0.444
0.806 0.353 0.719
0.655 0.655 0.345
0.905 0.905 0.595

Which structure is most stable? version Q, by 1.0 kJ/mol of atoms over the runner-up.